1.
# PBE PaSnRu, relaxed
# energy of formation from the pure elements	-0.381	eV per atom
# calculated volume	262.83	Å³ per cell
data_PaSnRu
_chemical_formula_sum 'Pa4 Sn4 Ru4'
_space_group_name_H-M_alt 'I m m m'
_space_group_IT_number 71
_space_group_name_Hall '-I 2 2'
_cell_length_a 4.1957
_cell_length_b 5.8887
_cell_length_c 10.6376
_cell_angle_alpha 90.00
_cell_angle_beta 90.00
_cell_angle_gamma 90.00
loop_
_atom_site_label
_atom_site_fract_x
_atom_site_fract_y
_atom_site_fract_z
_atom_site_occupancy
Pa1 0.0000 0.0000 0.2097 1
Sn1 0.0000 0.2529 0.5000 1
Ru1 0.0000 0.5000 0.1305 1

=====

2.
# PBE Na4HBr2Cl, relaxed
# calculated total energy	-2.963	eV per atom
# calculated volume	751.27	Å³ per cell
data_Na4HBr2Cl
_chemical_formula_sum 'Na16 H4 Br8 Cl4'
_space_group_name_H-M_alt 'C 1 2/c 1'
_space_group_IT_number 15
_cell_length_a 11.4604
_cell_length_b 11.4212
_cell_length_c 8.1020
_cell_angle_alpha 90.00
_cell_angle_beta 134.89
_cell_angle_gamma 90.00
loop_
_space_group_symop_operation_xyz
'x,y,z'
'-x,-y,-z'
'-x,y,-z+1/2'
'x,-y,z+1/2'
'x+1/2,y+1/2,z'
'-x+1/2,-y+1/2,-z'
'-x+1/2,y+1/2,-z+1/2'
'x+1/2,-y+1/2,z+1/2'
loop_
_atom_site_label
_atom_site_fract_x
_atom_site_fract_y
_atom_site_fract_z
_atom_site_occupancy
Na1 0.0014 0.2459 0.4813 1
Na2 0.2415 0.0143 0.4916 1
H1 0.2500 0.2500 0.5000 1
Br1 0.0000 0.5000 0.0000 1
Br2 0.2500 0.2500 0.0000 1
Cl1 0.0000 0.0000 0.0000 1

=====

3.
# PBE Mn3AsOs, relaxed
# relative energy among the computed polymorphs	224	meV/atom
# energy of formation from the pure elements	1.408	eV per atom
# calculated volume	74.09	Å³ per cell
data_Mn3AsOs
_chemical_formula_sum 'Mn3 As1 Os1'
_space_group_name_H-M_alt 'P m -3 m'
_space_group_IT_number 221
_space_group_name_Hall '-P 4 2 3'
_cell_length_a 4.2001
_cell_length_b 4.2001
_cell_length_c 4.2001
_cell_angle_alpha 90.00
_cell_angle_beta 90.00
_cell_angle_gamma 90.00
loop_
_atom_site_label
_atom_site_fract_x
_atom_site_fract_y
_atom_site_fract_z
_atom_site_occupancy
Mn1 0.0000 0.0000 0.5000 1
As1 0.0000 0.0000 0.0000 1
Os1 0.5000 0.5000 0.5000 1

=====

4.
# PBE MgSc5Bi, relaxed
# energy of formation from the pure elements	-0.032	eV per atom
# calculated volume	704.03	Å³ per cell
data_MgSc5Bi
_chemical_formula_sum 'Mg4 Sc20 Bi4'
_space_group_name_H-M_alt 'C 1 2/c 1'
_space_group_IT_number 15
_cell_length_a 8.0376
_cell_length_b 8.4574
_cell_length_c 10.7023
_cell_angle_alpha 90.00
_cell_angle_beta 104.60
_cell_angle_gamma 90.00
loop_
_space_group_symop_operation_xyz
'x,y,z'
'-x,-y,-z'
'-x,y,-z+1/2'
'x,-y,z+1/2'
'x+1/2,y+1/2,z'
'-x+1/2,-y+1/2,-z'
'-x+1/2,y+1/2,-z+1/2'
'x+1/2,-y+1/2,z+1/2'
loop_
_atom_site_label
_atom_site_fract_x
_atom_site_fract_y
_atom_site_fract_z
_atom_site_occupancy
Mg1 0.0000 0.0000 0.0000 1
Sc1 0.0000 0.1328 0.2500 1
Sc2 0.1166 0.3577 0.5264 1
Sc3 0.2030 0.2020 0.8400 1
Bi1 0.0000 0.4905 0.2500 1

=====

5.
# PBE Hf4CuRh3, relaxed
# energy of formation from the pure elements	-0.684	eV per atom
# calculated volume	279.79	Å³ per cell
data_Hf4CuRh3
_chemical_formula_sum 'Hf8 Cu2 Rh6'
_space_group_name_H-M_alt 'I 4/m m m'
_space_group_IT_number 139
_space_group_name_Hall '-I 4 2'
_cell_length_a 4.6678
_cell_length_b 4.6678
_cell_length_c 12.8416
_cell_angle_alpha 90.00
_cell_angle_beta 90.00
_cell_angle_gamma 90.00
loop_
_atom_site_label
_atom_site_fract_x
_atom_site_fract_y
_atom_site_fract_z
_atom_site_occupancy
Hf1 0.0000 0.5000 0.1246 1
Cu1 0.0000 0.0000 0.0000 1
Rh1 0.0000 0.0000 0.2392 1
Rh2 0.0000 0.0000 0.5000 1

=====

6.
# PBE Fe2RuRh, relaxed
# energy of formation from the pure elements	0.183	eV per atom
# calculated volume	53.89	Å³ per cell
data_Fe2RuRh
_chemical_formula_sum 'Fe2 Ru1 Rh1'
_space_group_name_H-M_alt 'P 1 2/m 1'
_space_group_IT_number 10
_cell_length_a 2.6344
_cell_length_b 4.2456
_cell_length_c 4.8408
_cell_angle_alpha 90.00
_cell_angle_beta 95.50
_cell_angle_gamma 90.00
loop_
_space_group_symop_operation_xyz
'x,y,z'
'-x,-y,-z'
'-x,y,-z'
'x,-y,z'
loop_
_atom_site_label
_atom_site_fract_x
_atom_site_fract_y
_atom_site_fract_z
_atom_site_occupancy
Fe1 0.2484 0.0000 0.2544 1
Ru1 0.0000 0.5000 0.5000 1
Rh1 0.5000 0.5000 0.0000 1